Entry P
Sm3Mg2In | GGA-PBE | relaxed

a = 3.8364 Å, b = 3.8364 Å, c = 11.5805 Å
α = 90.00°, β = 90.00°, γ = 90.00°
With the nearest neighbours (Å) after each atom.
Fractional coordinates of all 6 atoms:
Sm 0.0000 0.0000 0.0000  8 Mg 3.31
Sm 0.0000 0.0000 0.3334  4 In 3.33, 4 Mg 3.35
Sm 0.0000 0.0000 0.6666  4 In 3.33, 4 Mg 3.35
Mg 0.5000 0.5000 0.1638  8 Sm 3.31-3.35
Mg 0.5000 0.5000 0.8362  8 Sm 3.31-3.35
In 0.5000 0.5000 0.5000  8 Sm 3.33

Computed properties:
**Magnetization**: 0.0 μB/f.u.
**Space-group type**: No. 123
**Density of states at the Fermi level**: 7.93 states/eV/f.u.

***

Entry Q
Sm3Mg2In | GGA-PBE | relaxed

a = 5.4230 Å, b = 5.4230 Å, c = 13.3122 Å
α = 90.00°, β = 90.00°, γ = 120.00°
With the nearest neighbours (Å) after each atom.
Fractional coordinates of all 12 atoms:
Sm 0.0000 0.0000 0.2499  5 Mg 3.33-3.34, 3 In 3.33
Sm 0.0000 0.0000 0.7501  5 Mg 3.33-3.34, 3 In 3.33
Sm 0.3333 0.6667 0.4152  7 Mg 3.29-3.33, 1 In 3.33
Sm 0.3333 0.6667 0.9155  4 In 3.31-3.32, 4 Mg 3.33-3.38
Sm 0.6667 0.3333 0.0845  4 In 3.31-3.32, 4 Mg 3.33-3.38
Sm 0.6667 0.3333 0.5848  7 Mg 3.29-3.33, 1 In 3.33
Mg 0.0000 0.0000 0.0000  8 Sm 3.33
Mg 0.0000 0.0000 0.5000  8 Sm 3.33
Mg 0.3333 0.6667 0.6620  8 Sm 3.29-3.38
Mg 0.6667 0.3333 0.3380  8 Sm 3.29-3.38
In 0.3333 0.6667 0.1651  8 Sm 3.31-3.33
In 0.6667 0.3333 0.8349  8 Sm 3.31-3.33

Computed properties:
**Magnetization**: 0.0 μB/f.u.
**Space-group type**: No. 164
**Density of states at the Fermi level**: 6.64 states/eV/f.u.

***

Unit: meV/atom. Relative energies: entry P 22; entry Q 0.

***

Entry P
Sm4Mg2In | GGA-PBE | relaxed

a = 9.9270 Å, b = 9.9270 Å, c = 9.9270 Å
α = 31.16°, β = 31.16°, γ = 31.16°
With the nearest neighbours (Å) after each atom.
Fractional coordinates of all 7 atoms:
Sm 0.1265 0.1265 0.1265  3 In 3.28, 3 Mg 3.47
Sm 0.2899 0.2899 0.2899  4 Mg 3.17-3.21
Sm 0.7101 0.7101 0.7101  4 Mg 3.17-3.21
Sm 0.8735 0.8735 0.8735  3 In 3.28, 3 Mg 3.47
Mg 0.4033 0.4033 0.4033  1 In 2.74
Mg 0.5967 0.5967 0.5967  1 In 2.74
In 0.5000 0.5000 0.5000  2 Mg 2.74

Computed properties:
**Magnetization**: 0.0 μB/f.u.
**Space-group type**: No. 166
**Density of states at the Fermi level**: 8.54 states/eV/f.u.

***

Entry Q
Sm4Mg2In | GGA-PBE | relaxed

a = 9.1266 Å, b = 9.1266 Å, c = 9.1266 Å
α = 34.14°, β = 34.14°, γ = 34.14°
With the nearest neighbours (Å) after each atom.
Fractional coordinates of all 7 atoms:
Sm 0.1167 0.1167 0.1167  4 Mg 3.17-3.28, 3 In 3.35
Sm 0.3701 0.3701 0.3701  4 Mg 3.25-3.38, 1 In 3.35, 3 Sm 3.63
Sm 0.6299 0.6299 0.6299  4 Mg 3.25-3.38, 1 In 3.35, 3 Sm 3.63
Sm 0.8833 0.8833 0.8833  4 Mg 3.17-3.28, 3 In 3.35
Mg 0.2441 0.2441 0.2441  8 Sm 3.17-3.38
Mg 0.7559 0.7559 0.7559  8 Sm 3.17-3.38
In 0.5000 0.5000 0.5000  8 Sm 3.35, 6 Mg 3.68

Computed properties:
**Magnetization**: 0.0 μB/f.u.
**Space-group type**: No. 166
**Density of states at the Fermi level**: 9.24 states/eV/f.u.

***

Unit: meV/atom. Relative energies: entry P 197; entry Q 0.

***

Entry P
SmMg4In2 | GGA-PBE | relaxed

a = 8.6290 Å, b = 8.6290 Å, c = 4.6663 Å
α = 90.00°, β = 90.00°, γ = 90.00°
With the nearest neighbours (Å) after each atom.
Fractional coordinates of all 14 atoms:
Sm 0.0000 0.0000 0.0000  6 In 3.40-3.63, 4 Mg 3.70
Sm 0.5000 0.5000 0.5000  6 In 3.40-3.63, 4 Mg 3.70
Mg 0.0996 0.3457 0.5000  3 In 2.88-2.92, 2 Mg 3.00-3.17
Mg 0.1543 0.5996 0.0000  3 In 2.88-2.92, 2 Mg 3.00-3.17
Mg 0.3457 0.0996 0.5000  3 In 2.88-2.92, 2 Mg 3.00-3.17
Mg 0.4004 0.8457 0.0000  3 In 2.88-2.92, 2 Mg 3.00-3.17
Mg 0.5996 0.1543 0.0000  3 In 2.88-2.92, 2 Mg 3.00-3.17
Mg 0.6543 0.9004 0.5000  3 In 2.88-2.92, 2 Mg 3.00-3.17
Mg 0.8457 0.4004 0.0000  3 In 2.88-2.92, 2 Mg 3.00-3.17
Mg 0.9004 0.6543 0.5000  3 In 2.88-2.92, 2 Mg 3.00-3.17
In 0.2023 0.7977 0.5000  6 Mg 2.88-2.92
In 0.2977 0.2977 0.0000  6 Mg 2.88-2.92
In 0.7023 0.7023 0.0000  6 Mg 2.88-2.92
In 0.7977 0.2023 0.5000  6 Mg 2.88-2.92

Computed properties:
**Magnetization**: 0.0 μB/f.u.
**Space-group type**: No. 136
**Density of states at the Fermi level**: 5.34 states/eV/f.u.

***

Entry Q
SmMg4In2 | GGA-PBE | relaxed

a = 8.9233 Å, b = 8.9233 Å, c = 4.4848 Å
α = 90.00°, β = 90.00°, γ = 150.64°
With the nearest neighbours (Å) after each atom.
Fractional coordinates of all 7 atoms:
Sm 0.0000 0.0000 0.0000  8 In 3.47
Mg 0.1843 0.8157 0.5000  2 In 2.89, 8 Mg 3.17-3.20
Mg 0.3143 0.6857 0.0000  2 In 2.89, 8 Mg 3.17-3.18
Mg 0.6857 0.3143 0.0000  2 In 2.89, 8 Mg 3.17-3.18
Mg 0.8157 0.1843 0.5000  2 In 2.89, 8 Mg 3.17-3.20
In 0.4201 0.5799 0.5000  1 In 2.76, 4 Mg 2.89
In 0.5799 0.4201 0.5000  1 In 2.76, 4 Mg 2.89

Computed properties:
**Magnetization**: 0.0 μB/f.u.
**Space-group type**: No. 65
**Density of states at the Fermi level**: 3.21 states/eV/f.u.

***

Unit: meV/atom. Relative energies: entry P 0; entry Q 17.

***

Entry P
SrSmMgIn | GGA-PBE | relaxed

a = 3.9567 Å, b = 3.9567 Å, c = 8.0560 Å
α = 90.00°, β = 90.00°, γ = 90.00°
With the nearest neighbours (Å) after each atom.
Fractional coordinates of all 4 atoms:
Sr 0.0000 0.0000 0.0000  4 In 3.55, 4 Mg 3.61, 4 Sr 3.96, 1 Sm 3.96
Sm 0.0000 0.0000 0.4913  4 In 3.31, 4 Mg 3.34
Mg 0.5000 0.5000 0.7177  4 Sm 3.34, 1 In 3.60, 4 Sr 3.61
In 0.5000 0.5000 0.2710  4 Sm 3.31, 4 Sr 3.55, 1 Mg 3.60

Computed properties:
**Magnetization**: 0.0 μB/f.u.
**Space-group type**: No. 99
**Density of states at the Fermi level**: 3.03 states/eV/f.u.

***

Entry Q
SrSmMgIn | GGA-PBE | relaxed

a = 5.5938 Å, b = 5.5938 Å, c = 5.5938 Å
α = 60.00°, β = 60.00°, γ = 60.00°
With the nearest neighbours (Å) after each atom.
Fractional coordinates of all 4 atoms:
Sr 0.0000 0.0000 0.0000  4 In 3.43, 4 Mg 3.43
Sm 0.5000 0.5000 0.5000  4 In 3.43, 4 Mg 3.43
Mg 0.2500 0.2500 0.2500  4 Sm 3.43, 4 Sr 3.43
In 0.7500 0.7500 0.7500  4 Sm 3.43, 4 Sr 3.43

Computed properties:
**Magnetization**: 0.0 μB/f.u.
**Space-group type**: No. 216
**Density of states at the Fermi level**: 2.51 states/eV/f.u.

***

Unit: meV/atom. Relative energies: entry P 0; entry Q 11.

***

Entry P
SmMgTlIn | GGA-PBE | relaxed

a = 4.5769 Å, b = 4.7147 Å, c = 4.7467 Å
α = 90.00°, β = 90.00°, γ = 90.00°
With the nearest neighbours (Å) after each atom.
Fractional coordinates of all 4 atoms:
Sm 0.0000 0.0000 0.0000  4 In 3.29, 4 Tl 3.30, 4 Mg 3.35
Mg 0.0000 0.5000 0.5000  4 Tl 3.29, 4 In 3.30, 4 Sm 3.35
Tl 0.5000 0.0000 0.5000  4 Mg 3.29, 4 Sm 3.30, 4 In 3.35
In 0.5000 0.5000 0.0000  4 Sm 3.29, 4 Mg 3.30, 4 Tl 3.35

Computed properties:
**Magnetization**: 0.0 μB/f.u.
**Space-group type**: No. 47
**Density of states at the Fermi level**: 2.36 states/eV/f.u.

***

Entry Q
SmMgTlIn | GGA-PBE | relaxed

a = 5.2850 Å, b = 5.2850 Å, c = 5.2850 Å
α = 60.00°, β = 60.00°, γ = 60.00°
With the nearest neighbours (Å) after each atom.
Fractional coordinates of all 4 atoms:
Sm 0.0000 0.0000 0.0000  4 Tl 3.24, 4 In 3.24
Mg 0.5000 0.5000 0.5000  4 Tl 3.24, 4 In 3.24
Tl 0.7500 0.7500 0.7500  4 Mg 3.24, 4 Sm 3.24
In 0.2500 0.2500 0.2500  4 Mg 3.24, 4 Sm 3.24

Computed properties:
**Magnetization**: 0.0 μB/f.u.
**Space-group type**: No. 216
**Density of states at the Fermi level**: 2.20 states/eV/f.u.

***

Unit: meV/atom. Relative energies: entry P 0; entry Q 86.

***

Entry P
MgIn2Sn | GGA-PBE | relaxed

a = 5.3072 Å, b = 5.3072 Å, c = 5.3072 Å
α = 60.00°, β = 60.00°, γ = 60.00°
With the nearest neighbours (Å) after each atom.
Fractional coordinates of all 4 atoms:
Mg 0.0000 0.0000 0.0000  8 In 3.25
In 0.2500 0.2500 0.2500  4 Sn 3.25, 4 Mg 3.25
In 0.7500 0.7500 0.7500  4 Sn 3.25, 4 Mg 3.25
Sn 0.5000 0.5000 0.5000  8 In 3.25

Computed properties:
**Magnetization**: 0.0 μB/f.u.
**Space-group type**: No. 225
**Density of states at the Fermi level**: 1.49 states/eV/f.u.

***

Entry Q
MgIn2Sn | GGA-PBE | relaxed

a = 4.6324 Å, b = 4.6324 Å, c = 4.7012 Å
α = 90.00°, β = 90.00°, γ = 90.00°
With the nearest neighbours (Å) after each atom.
Fractional coordinates of all 4 atoms:
Mg 0.0000 0.0000 0.0000  4 Sn 3.28, 8 In 3.30
In 0.0000 0.5000 0.5000  4 In 3.28, 4 Sn 3.30, 4 Mg 3.30
In 0.5000 0.0000 0.5000  4 In 3.28, 4 Sn 3.30, 4 Mg 3.30
Sn 0.5000 0.5000 0.0000  4 Mg 3.28, 8 In 3.30

Computed properties:
**Magnetization**: 0.0 μB/f.u.
**Space-group type**: No. 123
**Density of states at the Fermi level**: 1.40 states/eV/f.u.

***

Unit: meV/atom. Relative energies: entry P 43; entry Q 0.